# 1
YCr2Au | Alexandria | PBE | optimized geometry; excess energy over the best structure of this formula in the dataset = 0.0000 eV per atom; ΔH_f (0 K) = 0.041 eV per atom; total moment = 0.1 μB per formula unit; final energy = -7.21 eV per atom; DOS(E_F) = 3.3 states/eV/cell
1.0
3.177 0.032 0.000
-0.032 3.177 0.000
0.000 0.000 7.222
Cr Au Y
2 1 1
Direct
0.500 0.500 0.182
0.000 0.000 0.038
0.500 0.500 0.788
0.000 0.000 0.492

=====

# 2
YCr2Au | Alexandria | PBE | optimized geometry; excess energy over the best structure of this formula in the dataset = 0.5655 eV per atom; ΔH_f (0 K) = 0.606 eV per atom; total moment = 7.6 μB per formula unit; final energy = -6.64 eV per atom; DOS(E_F) = 4.1 states/eV/cell
1.0
-8.073 -0.882 4.467
-8.041 -3.680 2.776
-6.478 -3.483 5.640
Cr Au Y
2 1 1
Direct
0.008 0.008 0.008
0.492 0.492 0.492
0.750 0.750 0.750
0.250 0.250 0.250

=====

# 3
YCr2Au | Alexandria | PBE | optimized geometry; excess energy over the best structure of this formula in the dataset = 0.3618 eV per atom; ΔH_f (0 K) = 0.402 eV per atom; total moment = 0.3 μB per formula unit; final energy = -6.84 eV per atom; DOS(E_F) = 3.4 states/eV/cell
1.0
8.648 -0.054 -0.032
8.092 3.053 -0.032
8.092 1.450 2.687
Cr Au Y
2 1 1
Direct
0.990 0.990 0.990
0.266 0.266 0.266
0.740 0.740 0.740
0.504 0.504 0.504

=====

# 4
YCr2Au | Alexandria | PBE | optimized geometry; excess energy over the best structure of this formula in the dataset = 0.2417 eV per atom; ΔH_f (0 K) = 0.282 eV per atom; total moment = 8.3 μB per formula unit; final energy = -6.96 eV per atom; DOS(E_F) = 1.8 states/eV/cell
1.0
4.972 -0.616 0.000
1.596 4.749 0.000
-3.284 -2.066 3.169
Au Cr Y
1 2 1
Direct
0.750 0.250 0.500
0.500 0.500 0.000
0.000 0.000 0.000
0.250 0.750 0.500